Record 1
The following is a SCAN calculation of NaScTl2F6 at its PBEsol-relaxed geometry, from Alexandria via LeMat-Bulk.

Values from the calculation:
* magnetization: 0.00 Bohr magnetons per cell
* ΔE_f (raw): -3.065 eV per atom

Lattice parameters (Å, degrees): 6.0451 6.0451 6.0451 60.00 60.00 60.00
Last column: nearest neighbours and their distance in Å.
Element x y z (fractional)
F 0.2358 0.2358 0.7642  1 Sc 2.02
F 0.2358 0.7642 0.2358  1 Sc 2.02
F 0.7642 0.2358 0.7642  1 Sc 2.02
F 0.7642 0.2358 0.2358  1 Sc 2.02
F 0.7642 0.7642 0.2358  1 Sc 2.02
F 0.2358 0.7642 0.7642  1 Sc 2.02
Tl 0.7500 0.7500 0.7500  12 F 3.02
Tl 0.2500 0.2500 0.2500  12 F 3.02
Sc 0.0000 0.0000 0.0000  6 F 2.02
Na 0.5000 0.5000 0.5000  6 F 2.26

Record 2
The following is a SCAN calculation of Na2CdPt2 at its PBEsol-relaxed geometry, from Alexandria via LeMat-Bulk.

Values from the calculation:
* magnetization: 0.00 Bohr magnetons per cell
* E_tot: -360.9 eV for the cell shown

Lattice parameters (Å, degrees): 4.5139 6.7382 6.7382 90.00 90.00 90.00
Last column: nearest neighbours and their distance in Å.
Element x y z (fractional)
Pt 0.0000 0.3675 0.8675  1 Pt 2.53, 2 Cd 2.63
Pt 0.0000 0.6325 0.1325  1 Pt 2.53, 2 Cd 2.63
Pt 0.0000 0.1325 0.3675  1 Pt 2.53, 2 Cd 2.63
Pt 0.0000 0.8675 0.6325  1 Pt 2.53, 2 Cd 2.63
Na 0.5000 0.6667 0.8333  6 Pt 2.96-3.04, 1 Na 3.18
Na 0.5000 0.8333 0.3333  6 Pt 2.96-3.04, 1 Na 3.18
Na 0.5000 0.3333 0.1667  6 Pt 2.96-3.04, 1 Na 3.18
Na 0.5000 0.1667 0.6667  6 Pt 2.96-3.04, 1 Na 3.18
Cd 0.0000 0.0000 0.0000  4 Pt 2.63
Cd 0.0000 0.5000 0.5000  4 Pt 2.63

Record 3
The following is a SCAN calculation of K3P11 at its PBEsol-relaxed geometry, from Alexandria via LeMat-Bulk.

Values from the calculation:
* magnetization: 0.00 Bohr magnetons per cell
* E_tot: -578.5 eV for the cell shown

Lattice parameters (Å, degrees): 10.3783 10.2304 13.9783 90.00 90.00 90.00
Last column: nearest neighbours and their distance in Å.
Element x y z (fractional)
K 0.5000 0.2500 0.7954  7 P 3.27-3.38
K 0.2691 0.0780 0.5122  7 P 3.25-3.47
K 0.5000 0.7500 0.2046  7 P 3.27-3.38
K 0.7309 0.4220 0.5122  7 P 3.25-3.47
K 0.2691 0.5780 0.4878  7 P 3.25-3.47
K 0.7309 0.9220 0.4878  7 P 3.25-3.47
K 0.0000 0.2500 0.2954  7 P 3.27-3.38
K 0.7691 0.4220 0.0122  7 P 3.25-3.47
K 0.7691 0.9220 0.9878  7 P 3.25-3.47
K 0.2309 0.0780 0.0122  7 P 3.25-3.47
K 0.2309 0.5780 0.9878  7 P 3.25-3.47
K 0.0000 0.7500 0.7046  7 P 3.27-3.38
P 0.0209 0.0005 0.8493  2 P 2.16
P 0.0000 0.7500 0.4691  2 P 2.17
P 0.0817 0.3194 0.8780  3 P 2.16-2.25
P 0.6827 0.2359 0.2415  3 P 2.25
P 0.0998 0.0645 0.7140  3 P 2.16-2.25
P 0.5817 0.1805 0.3780  3 P 2.16-2.25
P 0.3173 0.2641 0.2415  3 P 2.25
P 0.4791 0.0005 0.3493  2 P 2.16
P 0.5779 0.1121 0.1339  3 P 2.17-2.25
P 0.9791 0.9995 0.1507  2 P 2.16
P 0.5998 0.9355 0.7860  3 P 2.16-2.25
P 0.4183 0.8194 0.6220  3 P 2.16-2.25
P 0.5000 0.2500 0.0309  2 P 2.17
P 0.5779 0.6121 0.8661  3 P 2.17-2.25
P 0.9791 0.4995 0.8493  2 P 2.16
P 0.0779 0.8879 0.3661  3 P 2.17-2.25
P 0.5209 0.4995 0.3493  2 P 2.16
P 0.9183 0.6806 0.1220  3 P 2.16-2.25
P 0.4791 0.5005 0.6507  2 P 2.16
P 0.0779 0.3879 0.6339  3 P 2.17-2.25
P 0.8173 0.2359 0.7415  3 P 2.25
P 0.0998 0.5645 0.2860  3 P 2.16-2.25
P 0.9221 0.1121 0.6339  3 P 2.17-2.25
P 0.8173 0.7359 0.2585  3 P 2.25
P 0.0209 0.5005 0.1507  2 P 2.16
P 0.9221 0.6121 0.3661  3 P 2.17-2.25
P 0.0817 0.8194 0.1220  3 P 2.16-2.25
P 0.4183 0.3194 0.3780  3 P 2.16-2.25
P 0.4221 0.3879 0.1339  3 P 2.17-2.25
P 0.1827 0.7641 0.2585  3 P 2.25
P 0.0000 0.2500 0.5309  2 P 2.17
P 0.5209 0.9995 0.6507  2 P 2.16
P 0.5000 0.7500 0.9691  2 P 2.17
P 0.5817 0.6806 0.6220  3 P 2.16-2.25
P 0.4002 0.0645 0.2140  3 P 2.16-2.25
P 0.4002 0.5645 0.7860  3 P 2.16-2.25
P 0.4221 0.8879 0.8661  3 P 2.17-2.25
P 0.9183 0.1805 0.8780  3 P 2.16-2.25
P 0.9002 0.9355 0.2860  3 P 2.16-2.25
P 0.3173 0.7641 0.7585  3 P 2.25
P 0.9002 0.4355 0.7140  3 P 2.16-2.25
P 0.5998 0.4355 0.2140  3 P 2.16-2.25
P 0.6827 0.7359 0.7585  3 P 2.25
P 0.1827 0.2641 0.7415  3 P 2.25

Record 4
The following is a SCAN calculation of CaAlIn at its PBEsol-relaxed geometry, from Alexandria via LeMat-Bulk.

Values from the calculation:
* magnetization: 0.03 Bohr magnetons per cell
* E_tot: -52.0 eV for the cell shown

Lattice parameters (Å, degrees): 3.6813 4.7282 4.7282 120.00 90.00 90.00
Last column: nearest neighbours and their distance in Å.
Element x y z (fractional)
Ca 0.6667 0.3333 0.6667  6 In 3.29, 6 Al 3.29, 2 Ca 3.68
In 0.1667 0.6667 0.3333  3 Al 2.73
Al 0.1666 0.0000 0.0000  3 In 2.73

Record 5
The following is a SCAN calculation of ZrNb2AlAs at its PBEsol-relaxed geometry, from Alexandria via LeMat-Bulk.

Values from the calculation:
* magnetization: 0.00 Bohr magnetons per cell
* E_tot: -120.8 eV for the cell shown

Lattice parameters (Å, degrees): 4.5540 4.7753 4.7753 90.00 90.00 90.00
Last column: nearest neighbours and their distance in Å.
Element x y z (fractional)
Nb 0.0000 0.5000 0.0000  2 Al 2.39
Nb 0.0000 0.0000 0.5000  2 Al 2.39
Zr 0.5000 0.5000 0.5000  8 Nb 3.30, 4 As 3.38
Al 0.0000 0.0000 0.0000  2 As 2.28, 4 Nb 2.39
As 0.5000 0.0000 0.0000  2 Al 2.28

Record 6
The following is a SCAN calculation of BaBeSi3 at its PBEsol-relaxed geometry, from Alexandria via LeMat-Bulk.

Values from the calculation:
* magnetization: 0.00 Bohr magnetons per cell
* ΔE_f (raw): 0.429 eV per atom
* distance to the lowest polymorph of the same formula: 0.0 meV per atom

Lattice parameters (Å, degrees): 4.6100 4.6100 4.6100 90.00 90.00 90.00
Last column: nearest neighbours and their distance in Å.
Element x y z (fractional)
Si 0.0000 0.0000 0.5000  2 Be 2.31
Si 0.5000 0.0000 0.0000  2 Be 2.31
Si 0.0000 0.5000 0.0000  2 Be 2.31
Ba 0.5000 0.5000 0.5000  12 Si 3.26
Be 0.0000 0.0000 0.0000  6 Si 2.31